TmTlVO4 after structural relaxation, computed with PBE+U.

Cell: 5.9622 5.8895 7.5457 Å, 90.00 105.50 90.00°
Last column: nearest neighbours and their distance in Å.
Atoms (fractional coordinates):
Tm 0.1736 0.2500 0.0494  6 O 2.21-2.42
Tm 0.8264 0.7500 0.9506  6 O 2.21-2.42
Tl 0.2782 0.2500 0.5811  2 O 2.58-2.88
Tl 0.7218 0.7500 0.4189  2 O 2.58-2.88
V 0.3022 0.7500 0.8568  4 O 1.75-1.90
V 0.6978 0.2500 0.1432  4 O 1.75-1.90
O 0.0707 0.5253 0.8447  1 V 1.90
O 0.0707 0.9747 0.8447  1 V 1.90
O 0.4922 0.7500 0.7092  1 V 1.79
O 0.4940 0.7500 0.0767  1 V 1.75
O 0.5060 0.2500 0.9233  1 V 1.75
O 0.5078 0.2500 0.2908  1 V 1.79
O 0.9293 0.0253 0.1553  1 V 1.90
O 0.9293 0.4747 0.1553  1 V 1.90

Values from the calculation:
Its total energy is -7.08 eV per atom. As for the size of the total moment: 2.00 μB per cell. The space-group type is P2_1/m (11). Its crystal system is monoclinic.